A relaxed BaZn2 crystal, computed with PBEsol.

```
6
Lattice="-2.3545 4.2025 -1.0334 -5.9811 -0.5162 -0.2163 -1.7949 3.0724 4.8399" Properties=species:S:1:pos:R:3 pbc="T T T"
Zn -6.1682 2.6791 1.4602
Zn -2.0119 2.6412 3.5806
Zn -8.1185 4.1175 0.0096
Zn -3.9623 4.0796 2.1300
Ba -2.8077 1.4538 0.5653
Ba -7.3227 5.3048 3.0250
```

Output
space-group type	No. 74
formation energy	-0.163	eV/atom